First-principles (PBE) data for crystalline CsMoCCl2 at its relaxed geometry, as listed in Alexandria.

a = 6.268 Å, b = 4.969 Å, c = 6.268 Å
α = 90.00°, β = 90.00°, γ = 90.00°
Each line ends with the local moment (μB).
Positions (direct):
Cl: 0.000 0.000 0.500  -0.01
Cs: 0.000 0.000 0.000  0.03
C: 0.000 0.500 0.000  0.98
Cl: 0.500 0.000 0.000  0.01
Mo: 0.500 0.500 0.500  4.06

The volume is 39.040 Å³ per atom. For the uncorrected formation energy, the calculation gives 1821 meV per atom.

***

First-principles (PBE) data for crystalline Cs2NiCCl6 at its relaxed geometry, as listed in Alexandria.

a = 6.718 Å, b = 6.718 Å, c = 7.449 Å
α = 63.20°, β = 63.20°, γ = 90.00°
Each line ends with the local moment (μB).
Positions (direct):
C: 0.500 0.500 0.000  0.13
Cl: 0.807 0.807 0.385  0.00
Cs: 0.250 0.750 0.500  0.00
Ni: 0.000 0.000 0.000  -0.07
Cl: 0.735 0.265 0.000  0.00
Cl: 0.265 0.265 0.000  0.00
Cl: 0.193 0.193 0.615  0.00
Cl: 0.265 0.735 0.000  0.00
Cs: 0.750 0.250 0.500  0.00
Cl: 0.735 0.735 0.000  0.00

The volume is 25.893 Å³ per atom. For the uncorrected formation energy, the calculation gives -495 meV per atom.